A geometry-optimized CaMnCo structure, computed with PBE.

As for the energy relative to the elements: 0.230 eV per atom. The density of states at the Fermi level is 0.898 states/eV/atom. The uncorrected energy comes out at -5.86 eV/atom. For the energy relative to the lowest polymorph listed for this composition, the calculation gives 35 meV per atom.

a = 4.156 Å, b = 5.760 Å, c = 5.760 Å
α = 127.36°, β = 90.00°, γ = 90.00°
Sites, in units of the cell vectors:
Ca: 0.000 0.000 0.000
Ca: 0.500 0.498 0.498
Mn: 0.000 0.295 0.727
Mn: 0.000 0.727 0.295
Co: 0.500 0.010 0.515
Co: 0.500 0.515 0.010

A geometry-optimized K5Rb3Na2 structure, computed with PBE.

As for the energy relative to the elements: 0.022 eV per atom. The density of states at the Fermi level is 0.784 states/eV/atom. The uncorrected energy comes out at -1.08 eV/atom. For the energy relative to the lowest polymorph listed for this composition, the calculation gives 0 meV per atom.

a = 14.826 Å, b = 14.826 Å, c = 6.493 Å
α = 90.00°, β = 90.00°, γ = 90.00°
Sites, in units of the cell vectors:
K: 0.000 0.500 0.000
K: 0.075 0.210 0.000
K: 0.210 0.925 0.000
K: 0.290 0.425 0.000
K: 0.425 0.710 0.000
K: 0.500 0.000 0.000
K: 0.575 0.290 0.000
K: 0.710 0.575 0.000
K: 0.790 0.075 0.000
K: 0.925 0.790 0.000
Rb: 0.000 0.000 0.500
Rb: 0.173 0.673 0.500
Rb: 0.327 0.173 0.500
Rb: 0.500 0.500 0.500
Rb: 0.673 0.827 0.500
Rb: 0.827 0.327 0.500
Na: 0.118 0.382 0.500
Na: 0.382 0.882 0.500
Na: 0.618 0.118 0.500
Na: 0.882 0.618 0.500

A geometry-optimized Tb2Ta2Si2C structure, computed with PBE.

The density of states at the Fermi level is 0.620 states/eV/atom. The uncorrected energy comes out at -8.17 eV/atom. The calculation puts the formation energy without anion corrections at -57 kJ per mole of atoms.

a = 8.087 Å, b = 8.087 Å, c = 8.087 Å
α = 149.66°, β = 149.66°, γ = 43.44°
Sites, in units of the cell vectors:
Tb: 0.168 0.168 0.000
Tb: 0.832 0.832 0.000
Ta: 0.000 0.500 0.500
Ta: 0.500 0.000 0.500
Si: 0.376 0.376 0.000
Si: 0.624 0.624 0.000
C: 0.000 0.000 0.000

A geometry-optimized Zr2InBi structure, computed with PBE.

As for the energy relative to the elements: -0.033 eV per atom. The density of states at the Fermi level is 0.946 states/eV/atom. The uncorrected energy comes out at -5.96 eV/atom. For the energy relative to the lowest polymorph listed for this composition, the calculation gives 153 meV per atom.

a = 8.767 Å, b = 8.767 Å, c = 8.767 Å
α = 24.57°, β = 24.57°, γ = 24.57°
Sites, in units of the cell vectors:
Zr: 0.000 0.000 0.000
Zr: 0.172 0.172 0.172
In: 0.754 0.754 0.754
Bi: 0.586 0.586 0.586

A geometry-optimized FeSbPdI2 structure, computed with PBE.

The density of states at the Fermi level is 1.158 states/eV/atom. The uncorrected energy comes out at -3.51 eV/atom. The calculation puts the formation energy without anion corrections at 64 kJ per mole of atoms. For the energy relative to the lowest polymorph listed for this composition, the calculation gives 0 meV per atom.

a = 5.433 Å, b = 5.433 Å, c = 4.858 Å
α = 90.00°, β = 90.00°, γ = 90.00°
Sites, in units of the cell vectors:
Fe: 0.000 0.000 0.000
Sb: 0.000 0.000 0.500
Pd: 0.500 0.500 0.500
I: 0.000 0.500 0.000
I: 0.500 0.000 0.000

A geometry-optimized Al2CdHgS structure, computed with PBE.

The density of states at the Fermi level is 0.202 states/eV/atom. The uncorrected energy comes out at -1.98 eV/atom. The calculation puts the formation energy without anion corrections at 57 kJ per mole of atoms.

a = 5.125 Å, b = 5.125 Å, c = 5.250 Å
α = 90.00°, β = 90.00°, γ = 90.00°
Sites, in units of the cell vectors:
Al: 0.000 0.500 0.000
Al: 0.500 0.000 0.000
Cd: 0.000 0.000 0.500
Hg: 0.500 0.500 0.000
S: 0.500 0.500 0.500

A geometry-optimized RbRuF2 structure, computed with PBE.

The density of states at the Fermi level is 0.272 states/eV/atom. The uncorrected energy comes out at -4.46 eV/atom. The calculation puts the formation energy without anion corrections at -93 kJ per mole of atoms. For the energy relative to the lowest polymorph listed for this composition, the calculation gives 246 meV per atom.

a = 7.713 Å, b = 7.713 Å, c = 7.713 Å
α = 141.09°, β = 141.09°, γ = 56.20°
Sites, in units of the cell vectors:
Rb: 0.000 0.000 0.000
Rb: 0.750 0.250 0.500
Ru: 0.250 0.750 0.500
Ru: 0.500 0.500 0.000
F: 0.230 0.625 0.105
F: 0.375 0.480 0.605
F: 0.520 0.125 0.895
F: 0.875 0.770 0.395

A geometry-optimized Cs2La2SnS6 structure, computed with PBE.

The uncorrected energy comes out at -5.11 eV/atom. The calculation puts the formation energy without anion corrections at -139 kJ per mole of atoms.

a = 7.171 Å, b = 7.171 Å, c = 8.630 Å
α = 98.23°, β = 98.23°, γ = 119.31°
Sites, in units of the cell vectors:
Cs: 0.171 0.829 0.000
Cs: 0.829 0.171 0.000
La: 0.333 0.667 0.500
La: 0.667 0.333 0.500
Sn: 0.000 0.000 0.500
S: 0.061 0.368 0.679
S: 0.238 0.238 0.323
S: 0.368 0.061 0.679
S: 0.632 0.939 0.321
S: 0.762 0.762 0.677
S: 0.939 0.632 0.321

A geometry-optimized ZrTlNi2 structure, computed with PBE.

As for the energy relative to the elements: -0.144 eV per atom. The density of states at the Fermi level is 0.727 states/eV/atom. The uncorrected energy comes out at -5.76 eV/atom.

a = 3.308 Å, b = 3.308 Å, c = 6.298 Å
α = 90.00°, β = 90.00°, γ = 90.00°
Sites, in units of the cell vectors:
Zr: 0.000 0.000 0.000
Tl: 0.000 0.000 0.500
Ni: 0.500 0.500 0.212
Ni: 0.500 0.500 0.788

A geometry-optimized LiCo2CuNi structure, computed with PBE.

As for the energy relative to the elements: 0.853 eV per atom. The density of states at the Fermi level is 1.086 states/eV/atom. The uncorrected energy comes out at -4.35 eV/atom. For the energy relative to the lowest polymorph listed for this composition, the calculation gives 0 meV per atom.

a = 4.316 Å, b = 4.316 Å, c = 4.477 Å
α = 90.00°, β = 90.00°, γ = 90.00°
Sites, in units of the cell vectors:
Li: 0.000 0.000 0.000
Co: 0.000 0.500 0.500
Co: 0.500 0.000 0.500
Cu: 0.500 0.500 0.000
Ni: 0.500 0.500 0.500

A geometry-optimized Pm2Nd6Er3In structure, computed with PBE.

As for the energy relative to the elements: -0.048 eV per atom. The density of states at the Fermi level is 1.108 states/eV/atom. The uncorrected energy comes out at -4.59 eV/atom.

a = 6.213 Å, b = 6.213 Å, c = 11.879 Å
α = 95.01°, β = 95.01°, γ = 120.11°
Sites, in units of the cell vectors:
Pm: 0.166 0.834 0.000
Pm: 0.834 0.166 0.000
Nd: 0.090 0.416 0.749
Nd: 0.258 0.258 0.252
Nd: 0.416 0.090 0.749
Nd: 0.584 0.910 0.251
Nd: 0.742 0.742 0.748
Nd: 0.910 0.584 0.251
Er: 0.000 0.000 0.500
Er: 0.333 0.667 0.500
Er: 0.667 0.333 0.500
In: 0.500 0.500 0.000

A geometry-optimized YZr3Sb structure, computed with PBE.

The density of states at the Fermi level is 1.147 states/eV/atom. The uncorrected energy comes out at -6.84 eV/atom. The calculation puts the formation energy without anion corrections at 39 kJ per mole of atoms. For the energy relative to the lowest polymorph listed for this composition, the calculation gives 0 meV per atom.

a = 5.347 Å, b = 5.347 Å, c = 5.347 Å
α = 90.00°, β = 90.00°, γ = 90.00°
Sites, in units of the cell vectors:
Y: 0.000 0.000 0.000
Zr: 0.000 0.500 0.500
Zr: 0.500 0.000 0.500
Zr: 0.500 0.500 0.000
Sb: 0.500 0.500 0.500

Repeat the eleventh record exactly.
A geometry-optimized Pm2Nd6Er3In structure, computed with PBE.

As for the energy relative to the elements: -0.048 eV per atom. The density of states at the Fermi level is 1.108 states/eV/atom. The uncorrected energy comes out at -4.59 eV/atom.

a = 6.213 Å, b = 6.213 Å, c = 11.879 Å
α = 95.01°, β = 95.01°, γ = 120.11°
Sites, in units of the cell vectors:
Pm: 0.166 0.834 0.000
Pm: 0.834 0.166 0.000
Nd: 0.090 0.416 0.749
Nd: 0.258 0.258 0.252
Nd: 0.416 0.090 0.749
Nd: 0.584 0.910 0.251
Nd: 0.742 0.742 0.748
Nd: 0.910 0.584 0.251
Er: 0.000 0.000 0.500
Er: 0.333 0.667 0.500
Er: 0.667 0.333 0.500
In: 0.500 0.500 0.000